[1]
Entry from the Alexandria database: a relaxed Pm2Dy4Y5 crystal (PBE).

The structure in CIF format:
```
data_Pm2Dy4Y5
_chemical_formula_sum 'Pm2 Dy4 Y5'
_space_group_name_H-M_alt 'P 1'
_space_group_IT_number 1
_space_group_name_Hall 'P 1'
_cell_length_a 8.814
_cell_length_b 8.814
_cell_length_c 11.735
_cell_angle_alpha 94.93
_cell_angle_beta 94.93
_cell_angle_gamma 23.23
loop_
_atom_site_label
_atom_site_type_symbol
_atom_site_fract_x
_atom_site_fract_y
_atom_site_fract_z
Pm1 Pm 0.137 0.137 0.314
Pm2 Pm 0.863 0.863 0.686
Dy1 Dy 0.232 0.232 0.854
Dy2 Dy 0.321 0.321 0.428
Dy3 Dy 0.679 0.679 0.572
Dy4 Dy 0.768 0.768 0.146
Y1 Y 0.000 0.000 0.500
Y2 Y 0.093 0.093 0.043
Y3 Y 0.459 0.459 0.218
Y4 Y 0.541 0.541 0.782
Y5 Y 0.907 0.907 0.957
```

- Offset from the most stable computed form: 0.000 eV/atom
- DFT total energy: -5.43 eV per atom
- Space-group type: C2/m (12)
- E_form: 49.1 kJ/mol of formula units

[2]
Entry from the Alexandria database: a relaxed Pm4Dy15Y crystal (PBE).

The structure in CIF format:
```
data_Pm4Dy15Y
_chemical_formula_sum 'Pm4 Dy15 Y1'
_space_group_name_H-M_alt 'P 1'
_space_group_IT_number 1
_space_group_name_Hall 'P 1'
_cell_length_a 5.048
_cell_length_b 5.048
_cell_length_c 25.179
_cell_angle_alpha 90.00
_cell_angle_beta 90.00
_cell_angle_gamma 90.00
loop_
_atom_site_label
_atom_site_type_symbol
_atom_site_fract_x
_atom_site_fract_y
_atom_site_fract_z
Pm1 Pm 0.000 0.000 0.100
Pm2 Pm 0.000 0.000 0.300
Pm3 Pm 0.000 0.000 0.700
Pm4 Pm 0.000 0.000 0.900
Dy1 Dy 0.000 0.500 0.000
Dy2 Dy 0.000 0.500 0.200
Dy3 Dy 0.000 0.500 0.401
Dy4 Dy 0.000 0.500 0.599
Dy5 Dy 0.000 0.500 0.800
Dy6 Dy 0.500 0.000 0.000
Dy7 Dy 0.500 0.000 0.200
Dy8 Dy 0.500 0.000 0.401
Dy9 Dy 0.500 0.000 0.599
Dy10 Dy 0.500 0.000 0.800
Dy11 Dy 0.500 0.500 0.100
Dy12 Dy 0.500 0.500 0.301
Dy13 Dy 0.500 0.500 0.500
Dy14 Dy 0.500 0.500 0.699
Dy15 Dy 0.500 0.500 0.900
Y1 Y 0.000 0.000 0.500
```

- DFT total energy: -4.71 eV per atom
- Space-group type: P4/mmm (123)
- E_form: 35.3 kJ/mol of formula units

[3]
Entry from the Alexandria database: a relaxed Pm12Dy7Y crystal (PBE).

The structure in CIF format:
```
data_Pm12Dy7Y
_chemical_formula_sum 'Pm12 Dy7 Y1'
_space_group_name_H-M_alt 'P 1'
_space_group_IT_number 1
_space_group_name_Hall 'P 1'
_cell_length_a 8.829
_cell_length_b 8.829
_cell_length_c 8.829
_cell_angle_alpha 94.27
_cell_angle_beta 94.27
_cell_angle_gamma 94.27
loop_
_atom_site_label
_atom_site_type_symbol
_atom_site_fract_x
_atom_site_fract_y
_atom_site_fract_z
Pm1 Pm 0.021 0.087 0.353
Pm2 Pm 0.087 0.353 0.021
Pm3 Pm 0.185 0.750 0.318
Pm4 Pm 0.250 0.682 0.815
Pm5 Pm 0.318 0.185 0.750
Pm6 Pm 0.353 0.021 0.087
Pm7 Pm 0.647 0.979 0.913
Pm8 Pm 0.682 0.815 0.250
Pm9 Pm 0.750 0.318 0.185
Pm10 Pm 0.815 0.250 0.682
Pm11 Pm 0.913 0.647 0.979
Pm12 Pm 0.979 0.913 0.647
Dy1 Dy 0.000 0.000 0.000
Dy2 Dy 0.150 0.415 0.479
Dy3 Dy 0.415 0.479 0.150
Dy4 Dy 0.479 0.150 0.415
Dy5 Dy 0.521 0.850 0.585
Dy6 Dy 0.585 0.521 0.850
Dy7 Dy 0.850 0.585 0.521
Y1 Y 0.500 0.500 0.500
```

- Offset from the most stable computed form: 0.029 eV/atom
- DFT total energy: -4.51 eV per atom
- Space-group type: R-3 (148)
- E_form: 532.2 kJ/mol of formula units

[4]
Entry from the Alexandria database: a relaxed Pm2Dy9Y crystal (PBE).

The structure in CIF format:
```
data_Pm2Dy9Y
_chemical_formula_sum 'Pm2 Dy9 Y1'
_space_group_name_H-M_alt 'P 1'
_space_group_IT_number 1
_space_group_name_Hall 'P 1'
_cell_length_a 5.040
_cell_length_b 5.040
_cell_length_c 15.114
_cell_angle_alpha 90.00
_cell_angle_beta 90.00
_cell_angle_gamma 90.00
loop_
_atom_site_label
_atom_site_type_symbol
_atom_site_fract_x
_atom_site_fract_y
_atom_site_fract_z
Pm1 Pm 0.000 0.000 0.167
Pm2 Pm 0.000 0.000 0.833
Dy1 Dy 0.000 0.500 0.000
Dy2 Dy 0.000 0.500 0.334
Dy3 Dy 0.000 0.500 0.666
Dy4 Dy 0.500 0.000 0.000
Dy5 Dy 0.500 0.000 0.334
Dy6 Dy 0.500 0.000 0.666
Dy7 Dy 0.500 0.500 0.167
Dy8 Dy 0.500 0.500 0.500
Dy9 Dy 0.500 0.500 0.833
Y1 Y 0.000 0.000 0.500
```

- DFT total energy: -4.76 eV per atom
- Space-group type: P4/mmm (123)
- E_form: 24.2 kJ/mol of formula units